P.
A relaxed Ti2MoW6 crystal, computed with GGA-PBE.

```
9
Lattice="2.790 0.000 0.000 -1.395 2.416 0.000 0.000 0.000 22.203" Properties=species:S:1:pos:R:3 pbc="T T T"
Ti 0.000 0.000 3.763
Ti 0.000 0.000 18.440
Mo 1.395 0.805 11.101
W 0.000 0.000 8.666
W 0.000 0.000 13.537
W 1.395 0.805 1.297
W 1.395 0.805 6.207
W 1.395 0.805 15.996
W 1.395 0.805 20.906
```

Computed properties:
Total moment, μB per cell: 0.000
Crystal system: hexagonal
Space-group type: P-6m2 (187)
Density of states at the Fermi level, states/eV/f.u.: 12.8

Q.
A relaxed Ti2MoW6 crystal, computed with GGA-PBE.

```
9
Lattice="4.469 0.000 0.000 -0.012 5.462 0.000 -2.227 -1.250 6.337" Properties=species:S:1:pos:R:3 pbc="T T T"
Ti 0.002 -0.259 1.338
Ti 2.228 4.471 4.999
Mo -0.006 2.731 0.000
W -0.007 3.834 3.694
W 0.002 1.152 3.904
W 0.000 2.900 6.255
W 2.231 1.312 0.083
W 2.228 3.061 2.434
W 2.237 0.378 2.643
```

Computed properties:
Total moment, μB per cell: 0.000
Crystal system: triclinic
Space-group type: P-1 (2)
Density of states at the Fermi level, states/eV/f.u.: 8.9

Result of the stability comparison: P is the least stable of them.